BaSrAl2: single point on PBEsol structure, SCAN.

abc: 4.0632 4.0632 7.7341
angles: 90.00 90.00 90.00
Space group P4/mmm (No. 123)
Unique sites:
Ba (0.0000, 0.0000, 0.0000) x1
Sr (0.0000, 0.0000, 0.5000) x1
Al (0.5000, 0.5000, 0.2930) x2

Output
Fermi-level density of states	2.100	states/eV per cell
final energy	-19.403	eV per atom

---

LiVP4O12: single point on PBEsol structure, SCAN.

abc: 5.1953 13.2344 7.2053
angles: 90.00 99.11 90.00
Space group P2_1 (No. 4)
Unique sites:
Li (0.1493, 0.0000, 0.1248) x2
V (0.0217, 0.6737, 0.5888) x2
P (0.2942, 0.7867, 0.9622) x2
P (0.3490, 0.1420, 0.8165) x2
P (0.4705, 0.3190, 0.3793) x2
P (0.4845, 0.5395, 0.5047) x2
O (0.1091, 0.1684, 0.6786) x2
O (0.1404, 0.8679, 0.0329) x2
O (0.1595, 0.6967, 0.8584) x2
O (0.1895, 0.2984, 0.3912) x2
O (0.2281, 0.5474, 0.5765) x2
O (0.2759, 0.0794, 0.3700) x2
O (0.3208, 0.0844, 0.9866) x2
O (0.3314, 0.7453, 0.5275) x2
O (0.4503, 0.9237, 0.5203) x2
O (0.4518, 0.5821, 0.2971) x2
O (0.4920, 0.8372, 0.8331) x2
O (0.4981, 0.7459, 0.1362) x2

Output
formation energy without anion corrections	-2.455	eV per atom
final energy	-10.025	eV per atom

---

Number 1: relative energy among the computed polymorphs 78.8 meV per atom. Number 2: relative energy among the computed polymorphs 0.0 meV per atom.